(1)
Computed, not measured: crystalline Ba3CdAs2O8 at its relaxed geometry at the PBE level of DFT.

## Properties
symmetry: P-3m1, No. 164
crystal system: trigonal
energy relative to the elements, uncorrected: -45.205 kcal/mol of atoms
spin magnetization: 0.00 μB per formula unit

Cell: 5.8482 5.8482 10.0250 Å, 90.00 90.00 120.00°
Fractional positions:
Ba1 0.0000 0.0000 0.0000
Ba2 0.3333 0.6667 0.7384
Ba3 0.6667 0.3333 0.2616
Cd1 0.0000 0.0000 0.5000
As1 0.3333 0.6667 0.1594
As2 0.6667 0.3333 0.8406
O1 0.1735 0.3470 0.2183
O2 0.1735 0.8265 0.2183
O3 0.3333 0.6667 0.9868
O4 0.3470 0.1735 0.7817
O5 0.6530 0.8265 0.2183
O6 0.6667 0.3333 0.0132
O7 0.8265 0.1735 0.7817
O8 0.8265 0.6530 0.7817

***

(2)
Computed, not measured: crystalline BaCdAsO4 at its relaxed geometry at the PBE level of DFT.

## Properties
symmetry: F-43m, No. 216
crystal system: cubic
energy relative to the elements, uncorrected: -28.904 kcal/mol of atoms
spin magnetization: 0.00 μB per formula unit

Cell: 6.3577 6.3577 6.3577 Å, 60.00 60.00 60.00°
Fractional positions:
Ba1 0.0000 0.0000 0.0000
Cd1 0.7500 0.7500 0.7500
As1 0.5000 0.5000 0.5000
O1 0.1657 0.6114 0.6114
O2 0.6114 0.1657 0.6114
O3 0.6114 0.6114 0.1657
O4 0.6114 0.6114 0.6114

***

(3)
Computed, not measured: crystalline Ba2CdAs2O6 at its relaxed geometry at the PBE level of DFT.

## Properties
symmetry: R-3m, No. 166
crystal system: trigonal
energy relative to the elements, uncorrected: -35.763 kcal/mol of atoms
spin magnetization: 1.42 μB per formula unit

Cell: 6.8671 6.8671 6.8671 Å, 53.41 53.41 53.41°
Fractional positions:
Ba1 0.2162 0.2162 0.2162
Ba2 0.7838 0.7838 0.7838
Cd1 0.0000 0.0000 0.0000
As1 0.4295 0.4295 0.4295
As2 0.5705 0.5705 0.5705
O1 0.2293 0.7497 0.7497
O2 0.2503 0.2503 0.7707
O3 0.2503 0.7707 0.2503
O4 0.7497 0.2293 0.7497
O5 0.7497 0.7497 0.2293
O6 0.7707 0.2503 0.2503

***

(4)
Computed, not measured: crystalline BaCd2AsO at its relaxed geometry at the PBE level of DFT.

## Properties
symmetry: Cmcm, No. 63
crystal system: orthorhombic
energy relative to the elements, uncorrected: -21.244 kcal/mol of atoms
spin magnetization: 0.00 μB per formula unit

Cell: 6.6550 6.6550 8.7751 Å, 90.00 90.00 142.52°
Fractional positions:
Ba1 0.0404 0.9596 0.7500
Ba2 0.9596 0.0404 0.2500
Cd1 0.3259 0.6741 0.5537
Cd2 0.3259 0.6741 0.9463
Cd3 0.6741 0.3259 0.0537
Cd4 0.6741 0.3259 0.4463
As1 0.2323 0.7677 0.2500
As2 0.7677 0.2323 0.7500
O1 0.5000 0.5000 0.0000
O2 0.5000 0.5000 0.5000

***

(5)
Computed, not measured: crystalline Ba2Cd2AsP2 at its relaxed geometry at the PBE level of DFT.

## Properties
symmetry: C2/m, No. 12
crystal system: monoclinic
spin magnetization: 0.00 μB per formula unit
ΔE_f: -0.561 eV per atom

Cell: 7.2609 7.2609 8.1429 Å, 121.83 121.83 34.95°
Fractional positions:
Ba1 0.0636 0.0636 0.3363
Ba2 0.9364 0.9364 0.6637
Cd1 0.2833 0.2833 0.9038
Cd2 0.7167 0.7167 0.0962
As1 0.5000 0.5000 0.0000
P1 0.3281 0.3281 0.2926
P2 0.6719 0.6719 0.7074

***

(6)
Computed, not measured: crystalline Ba2CdAs3Pd4 at its relaxed geometry at the PBE level of DFT.

## Properties
symmetry: P-4m2, No. 115
crystal system: tetragonal
spin magnetization: 0.00 μB per formula unit
ΔE_f: -0.699 eV per atom

Cell: 4.5825 4.5825 10.5506 Å, 90.00 90.00 90.00°
Fractional positions:
Ba1 0.0000 0.5000 0.2437
Ba2 0.5000 0.0000 0.7563
Cd1 0.0000 0.0000 0.5000
As1 0.0000 0.5000 0.8799
As2 0.5000 0.0000 0.1201
As3 0.5000 0.5000 0.5000
Pd1 0.0000 0.0000 0.0000
Pd2 0.0000 0.5000 0.6374
Pd3 0.5000 0.0000 0.3626
Pd4 0.5000 0.5000 0.0000

***

(7)
Computed, not measured: crystalline Ba2CdAs4Pd3 at its relaxed geometry at the PBE level of DFT.

## Properties
symmetry: P-4m2, No. 115
crystal system: tetragonal
spin magnetization: 0.00 μB per formula unit
ΔE_f: -0.725 eV per atom

Cell: 4.5882 4.5882 10.6802 Å, 90.00 90.00 90.00°
Fractional positions:
Ba1 0.0000 0.5000 0.2402
Ba2 0.5000 0.0000 0.7598
Cd1 0.0000 0.0000 0.5000
As1 0.0000 0.0000 0.0000
As2 0.0000 0.5000 0.6444
As3 0.5000 0.0000 0.3556
As4 0.5000 0.5000 0.0000
Pd1 0.0000 0.5000 0.8889
Pd2 0.5000 0.0000 0.1111
Pd3 0.5000 0.5000 0.5000

***

(8)
Computed, not measured: crystalline Ba2CdAs3Pt12 at its relaxed geometry at the PBE level of DFT.

## Properties
symmetry: R-3m, No. 166
crystal system: trigonal
spin magnetization: 0.00 μB per formula unit
ΔE_f: -0.090 eV per atom

Cell: 8.0113 8.0113 8.0113 Å, 64.57 64.57 64.57°
Fractional positions:
Ba1 0.1106 0.1106 0.1106
Ba2 0.8894 0.8894 0.8894
Cd1 0.5000 0.5000 0.5000
As1 0.0000 0.5000 0.5000
As2 0.5000 0.0000 0.5000
As3 0.5000 0.5000 0.0000
Pt1 0.1226 0.6276 0.6276
Pt2 0.1539 0.1539 0.5958
Pt3 0.1539 0.5958 0.1539
Pt4 0.3724 0.3724 0.8774
Pt5 0.3724 0.8774 0.3724
Pt6 0.4042 0.8461 0.8461
Pt7 0.5958 0.1539 0.1539
Pt8 0.6276 0.1226 0.6276
Pt9 0.6276 0.6276 0.1226
Pt10 0.8461 0.4042 0.8461
Pt11 0.8461 0.8461 0.4042
Pt12 0.8774 0.3724 0.3724

***

(9)
Computed, not measured: crystalline BaPu2CdAs4 at its relaxed geometry at the PBE level of DFT.

## Properties
symmetry: Cmcm, No. 63
crystal system: orthorhombic
spin magnetization: 8.27 μB per formula unit
ΔE_f: -0.747 eV per atom

Cell: 7.4742 7.4742 14.2840 Å, 90.00 90.00 146.35°
Fractional positions:
Ba1 0.1210 0.8790 0.7500
Ba2 0.8790 0.1210 0.2500
Pu1 0.3733 0.6267 0.5588
Pu2 0.3733 0.6267 0.9412
Pu3 0.6267 0.3733 0.0588
Pu4 0.6267 0.3733 0.4412
Cd1 0.1516 0.8484 0.2500
Cd2 0.8484 0.1516 0.7500
As1 0.0000 0.0000 0.0000
As2 0.0000 0.0000 0.5000
As3 0.2595 0.7405 0.1013
As4 0.2595 0.7405 0.3987
As5 0.4525 0.5475 0.7500
As6 0.5475 0.4525 0.2500
As7 0.7405 0.2595 0.6013
As8 0.7405 0.2595 0.8987

***

(10)
Computed, not measured: crystalline Ba2CdAsRh at its relaxed geometry at the PBE level of DFT.

## Properties
symmetry: P4/mmm, No. 123
crystal system: tetragonal
spin magnetization: 0.00 μB per formula unit
ΔE_f: -0.452 eV per atom

Cell: 6.1338 6.1338 4.7017 Å, 90.00 90.00 90.00°
Fractional positions:
Ba1 0.0000 0.5000 0.0000
Ba2 0.5000 0.0000 0.0000
Cd1 0.0000 0.0000 0.5000
As1 0.5000 0.5000 0.5000
Rh1 0.5000 0.5000 0.0000

***

(11)
Computed, not measured: crystalline BaCd2AsRh at its relaxed geometry at the PBE level of DFT.

## Properties
symmetry: P4/mmm, No. 123
crystal system: tetragonal
spin magnetization: 0.00 μB per formula unit
ΔE_f: -0.345 eV per atom

Cell: 5.2272 5.2272 4.8839 Å, 90.00 90.00 90.00°
Fractional positions:
Ba1 0.0000 0.0000 0.0000
Cd1 0.0000 0.5000 0.5000
Cd2 0.5000 0.0000 0.5000
As1 0.5000 0.5000 0.0000
Rh1 0.5000 0.5000 0.5000

***

(12)
Computed, not measured: crystalline BaCdAsSe2 at its relaxed geometry at the PBE level of DFT.

## Properties
symmetry: P4/mmm, No. 123
crystal system: tetragonal
ΔE to the lowest computed polymorph: 912.4 meV/atom
energy relative to the elements, uncorrected: 10.901 kcal/mol of atoms
spin magnetization: 4.77 μB per formula unit

Cell: 6.2751 6.2751 6.5943 Å, 90.00 90.00 90.00°
Fractional positions:
Ba1 0.0000 0.0000 0.0000
Cd1 0.5000 0.5000 0.5000
As1 0.0000 0.0000 0.5000
Se1 0.0000 0.5000 0.0000
Se2 0.5000 0.0000 0.0000

***

(13)
Computed, not measured: crystalline BaCdAsSe2 at its relaxed geometry at the PBE level of DFT.

## Properties
symmetry: P4/mmm, No. 123
crystal system: tetragonal
ΔE to the lowest computed polymorph: 0.0 meV/atom
energy relative to the elements, uncorrected: -10.139 kcal/mol of atoms
spin magnetization: 0.00 μB per formula unit

Cell: 5.4337 5.4337 5.0941 Å, 90.00 90.00 90.00°
Fractional positions:
Ba1 0.0000 0.0000 0.0000
Cd1 0.5000 0.5000 0.5000
As1 0.5000 0.5000 0.0000
Se1 0.0000 0.5000 0.5000
Se2 0.5000 0.0000 0.5000

***

(14)
Computed, not measured: crystalline BaCdSnAs2 at its relaxed geometry at the PBE level of DFT.

## Properties
symmetry: C2/m, No. 12
crystal system: monoclinic
spin magnetization: 0.00 μB per formula unit
ΔE_f: -0.504 eV per atom

Cell: 8.1107 8.1107 9.2656 Å, 107.06 107.06 31.43°
Fractional positions:
Ba1 0.2100 0.2100 0.2033
Ba2 0.7900 0.7900 0.7967
Cd1 0.4725 0.4725 0.1359
Cd2 0.5275 0.5275 0.8641
Sn1 0.0934 0.0934 0.5432
Sn2 0.9066 0.9066 0.4568
As1 0.1381 0.1381 0.8380
As2 0.3674 0.3674 0.5952
As3 0.6326 0.6326 0.4048
As4 0.8619 0.8619 0.1620

***

(15)
Computed, not measured: crystalline Ba2Cd2SnAs4 at its relaxed geometry at the PBE level of DFT.

## Properties
symmetry: C2/m, No. 12
crystal system: monoclinic
spin magnetization: 0.00 μB per formula unit
ΔE_f: -0.576 eV per atom

Cell: 8.7732 8.7732 6.9221 Å, 110.22 110.22 30.96°
Fractional positions:
Ba1 0.1427 0.1427 0.0856
Ba2 0.8573 0.8573 0.9144
Cd1 0.3403 0.3403 0.5155
Cd2 0.6597 0.6597 0.4845
Sn1 0.0000 0.0000 0.5000
As1 0.2046 0.2046 0.6898
As2 0.4989 0.4989 0.1889
As3 0.5011 0.5011 0.8111
As4 0.7954 0.7954 0.3102

***

(16)
Computed, not measured: crystalline Ba2CdSn2As4 at its relaxed geometry at the PBE level of DFT.

## Properties
symmetry: C2/m, No. 12
crystal system: monoclinic
spin magnetization: 0.00 μB per formula unit
ΔE_f: -0.496 eV per atom

Cell: 8.3500 8.3500 6.5413 Å, 106.60 106.60 37.04°
Fractional positions:
Ba1 0.1338 0.1338 0.0893
Ba2 0.8662 0.8662 0.9107
Cd1 0.0000 0.0000 0.5000
Sn1 0.3443 0.3443 0.4704
Sn2 0.6557 0.6557 0.5296
As1 0.2007 0.2007 0.6588
As2 0.4964 0.4964 0.2017
As3 0.5036 0.5036 0.7983
As4 0.7993 0.7993 0.3412

***

(17)
Computed, not measured: crystalline BaSrCdAs at its relaxed geometry at the PBE level of DFT.

## Properties
symmetry: F-43m, No. 216
crystal system: cubic
spin magnetization: 0.00 μB per formula unit
ΔE_f: -0.610 eV per atom

Cell: 5.6990 5.6990 5.6990 Å, 60.00 60.00 60.00°
Fractional positions:
Ba1 0.0000 0.0000 0.0000
Sr1 0.5000 0.5000 0.5000
Cd1 0.7500 0.7500 0.7500
As1 0.2500 0.2500 0.2500

***

(18)
Computed, not measured: crystalline Ba2SrCdAs at its relaxed geometry at the PBE level of DFT.

## Properties
symmetry: P4/mmm, No. 123
crystal system: tetragonal
spin magnetization: 0.48 μB per formula unit
ΔE_f: -0.486 eV per atom

Cell: 6.3954 6.3954 5.9682 Å, 90.00 90.00 90.00°
Fractional positions:
Ba1 0.0000 0.5000 0.0000
Ba2 0.5000 0.0000 0.0000
Sr1 0.0000 0.0000 0.5000
Cd1 0.5000 0.5000 0.5000
As1 0.0000 0.0000 0.0000

***

(19)
Computed, not measured: crystalline BaSr2CdAs at its relaxed geometry at the PBE level of DFT.

## Properties
symmetry: P4/mmm, No. 123
crystal system: tetragonal
spin magnetization: 0.00 μB per formula unit
ΔE_f: -0.500 eV per atom

Cell: 5.9817 5.9817 6.4215 Å, 90.00 90.00 90.00°
Fractional positions:
Ba1 0.0000 0.0000 0.0000
Sr1 0.0000 0.5000 0.5000
Sr2 0.5000 0.0000 0.5000
Cd1 0.5000 0.5000 0.0000
As1 0.0000 0.0000 0.5000

***

(20)
Computed, not measured: crystalline BaTl2CdAs2 at its relaxed geometry at the PBE level of DFT.

## Properties
symmetry: Pmc2_1, No. 26
crystal system: orthorhombic
spin magnetization: 0.00 μB per formula unit
ΔE_f: -0.402 eV per atom

Cell: 4.5567 9.7582 8.2374 Å, 90.00 90.00 90.00°
Fractional positions:
Ba1 0.0000 0.0959 0.0000
Ba2 0.0000 0.9041 0.5000
Tl1 0.0000 0.3122 0.3463
Tl2 0.0000 0.6878 0.8463
Tl3 0.5000 0.4649 0.0710
Tl4 0.5000 0.5351 0.5710
Cd1 0.5000 0.1697 0.6417
Cd2 0.5000 0.8303 0.1417
As1 0.0000 0.3240 0.7048
As2 0.0000 0.6760 0.2048
As3 0.5000 0.0900 0.3060
As4 0.5000 0.9100 0.8060

***

(21)
Computed, not measured: crystalline BaTlCd2As2 at its relaxed geometry at the PBE level of DFT.

## Properties
symmetry: P-3m1, No. 164
crystal system: trigonal
spin magnetization: 0.00 μB per formula unit
ΔE_f: -0.383 eV per atom

Cell: 5.0386 5.0386 7.4853 Å, 90.00 90.00 120.00°
Fractional positions:
Ba1 0.0000 0.0000 0.0000
Tl1 0.0000 0.0000 0.5000
Cd1 0.3333 0.6667 0.6728
Cd2 0.6667 0.3333 0.3272
As1 0.3333 0.6667 0.2700
As2 0.6667 0.3333 0.7300

***

(22)
Computed, not measured: crystalline Ba2UCdAs4 at its relaxed geometry at the PBE level of DFT.

## Properties
symmetry: P2/m, No. 10
crystal system: monoclinic
spin magnetization: 0.19 μB per formula unit
ΔE_f: -0.655 eV per atom

Cell: 7.5813 4.3792 7.7827 Å, 90.00 111.91 90.00°
Fractional positions:
Ba1 0.0000 0.0000 0.0000
Ba2 0.5000 0.5000 0.0000
U1 0.0000 0.5000 0.5000
Cd1 0.5000 0.0000 0.5000
As1 0.2046 0.0000 0.7058
As2 0.2545 0.5000 0.3126
As3 0.7455 0.5000 0.6874
As4 0.7954 0.0000 0.2942

***

(23)
Computed, not measured: crystalline BaYCd2As at its relaxed geometry at the PBE level of DFT.

## Properties
symmetry: P4/mmm, No. 123
crystal system: tetragonal
spin magnetization: 0.26 μB per formula unit
ΔE_f: 1.192 eV per atom

Cell: 5.8887 5.8887 6.4562 Å, 90.00 90.00 90.00°
Fractional positions:
Ba1 0.0000 0.0000 0.0000
Y1 0.0000 0.0000 0.5000
Cd1 0.0000 0.5000 0.0000
Cd2 0.5000 0.0000 0.0000
As1 0.5000 0.5000 0.5000

***

(24)
Computed, not measured: crystalline BaZnCdAs2 at its relaxed geometry at the PBE level of DFT.

## Properties
symmetry: C2/m, No. 12
crystal system: monoclinic
spin magnetization: 0.00 μB per formula unit
ΔE_f: -0.587 eV per atom

Cell: 7.0931 7.0931 9.4401 Å, 97.97 97.97 36.60°
Fractional positions:
Ba1 0.1730 0.1730 0.1872
Ba2 0.8270 0.8270 0.8128
Zn1 0.1678 0.1678 0.5791
Zn2 0.8322 0.8322 0.4209
Cd1 0.4550 0.4550 0.2855
Cd2 0.5450 0.5450 0.7145
As1 0.1314 0.1314 0.8372
As2 0.3616 0.3616 0.5615
As3 0.6384 0.6384 0.4385
As4 0.8686 0.8686 0.1628

***

| no. | calculated volume (A^3/atom) |
| --- | --- |
| 1 | 21.2 |
| 2 | 26.0 |
| 3 | 17.6 |
| 4 | 23.6 |
| 5 | 29.3 |
| 6 | 22.2 |
| 7 | 22.5 |
| 8 | 22.2 |
| 9 | 27.6 |
| 10 | 35.4 |
| 11 | 26.7 |
| 12 | 51.9 |
| 13 | 30.1 |
| 14 | 30.3 |
| 15 | 28.4 |
| 16 | 29.1 |
| 17 | 32.7 |
| 18 | 48.8 |
| 19 | 46.0 |
| 20 | 30.5 |
| 21 | 27.4 |
| 22 | 30.0 |
| 23 | 44.8 |
| 24 | 28.0 |